Entry 1:
A plane-wave DFT calculation with PBE was carried out for GaPdRh2 after structural relaxation.

abc: 2.930 2.930 6.759
angles: 90.00 90.00 90.00
Sites, in units of the cell vectors:
Ga1 0.500 0.500 0.000
Rh1 0.000 0.000 0.776
Rh2 0.000 0.000 0.224
Pd1 0.500 0.500 0.500

Values from the calculation:
The space group is P4/mmm. For the energy relative to the elements, the calculation gives -0.268 eV per atom.

Entry 2:
A plane-wave DFT calculation with PBE was carried out for Ga2Pd2Rh after structural relaxation.

abc: 7.348 7.348 2.821
angles: 90.00 90.00 90.00
Sites, in units of the cell vectors:
Rh1 0.000 0.000 0.000
Rh2 0.500 0.500 0.000
Ga1 0.669 0.831 0.500
Ga2 0.331 0.169 0.500
Ga3 0.831 0.331 0.500
Ga4 0.169 0.669 0.500
Pd1 0.132 0.368 0.000
Pd2 0.868 0.632 0.000
Pd3 0.368 0.868 0.000
Pd4 0.632 0.132 0.000

Values from the calculation:
The space group is P4/mbm. For the energy relative to the elements, the calculation gives -0.359 eV per atom. The value obtained for the relative energy among the computed polymorphs is 0.0902 eV per atom.

Entry 3:
A plane-wave DFT calculation with PBE was carried out for Ga6PdRh5 after structural relaxation.

abc: 4.345 5.999 7.512
angles: 113.53 106.81 90.00
Sites, in units of the cell vectors:
Rh1 0.665 0.665 0.329
Rh2 0.335 0.335 0.671
Rh3 0.666 0.166 0.331
Rh4 0.334 0.834 0.669
Rh5 0.000 0.500 0.000
Ga1 0.169 0.917 0.338
Ga2 0.169 0.421 0.338
Ga3 0.500 0.747 0.000
Ga4 0.500 0.253 0.000
Ga5 0.831 0.083 0.662
Ga6 0.831 0.579 0.662
Pd1 0.000 0.000 0.000

Values from the calculation:
The space group is Immm. For the energy relative to the elements, the calculation gives -0.648 eV per atom.

Entry 4:
A plane-wave DFT calculation with PBE was carried out for Ga8PdRh2 after structural relaxation.

abc: 4.679 5.088 8.293
angles: 107.36 106.11 91.27
Sites, in units of the cell vectors:
Pd1 0.264 0.068 0.909
Ga1 0.258 0.305 0.263
Ga2 0.272 0.822 0.305
Ga3 0.875 0.428 0.514
Ga4 0.785 0.322 0.909
Ga5 0.729 0.989 0.137
Ga6 0.282 0.573 0.908
Ga7 0.905 0.951 0.555
Ga8 0.502 0.763 0.682
Rh1 0.720 0.544 0.220
Rh2 0.409 0.235 0.597

Values from the calculation:
The space group is P1. For the energy relative to the elements, the calculation gives -0.371 eV per atom. The value obtained for the relative energy among the computed polymorphs is 0.0000 eV per atom.

Entry 5:
A plane-wave DFT calculation with PBE was carried out for Ga3PdRh4 after structural relaxation.

abc: 4.272 6.263 8.543
angles: 90.00 90.00 90.00
Sites, in units of the cell vectors:
Ga1 0.500 0.500 0.250
Ga2 0.000 0.000 0.500
Ga3 0.500 0.500 0.750
Ga4 0.500 0.000 0.750
Ga5 0.500 0.000 0.250
Ga6 0.000 0.000 0.000
Rh1 0.500 0.765 0.500
Rh2 0.000 0.765 0.250
Rh3 0.500 0.235 0.000
Rh4 0.500 0.765 0.000
Rh5 0.000 0.235 0.750
Rh6 0.500 0.235 0.500
Rh7 0.000 0.235 0.250
Rh8 0.000 0.765 0.750
Pd1 0.000 0.500 0.500
Pd2 0.000 0.500 0.000

Values from the calculation:
The space group is P4/mmm. For the energy relative to the elements, the calculation gives -0.502 eV per atom.

Entry 6:
A plane-wave DFT calculation with PBE was carried out for Ga6PdRh2 after structural relaxation.

abc: 5.072 7.010 8.071
angles: 90.00 86.26 90.00
Sites, in units of the cell vectors:
Ga1 0.603 0.483 0.299
Ga2 0.882 0.657 0.557
Ga3 0.382 0.843 0.057
Ga4 0.618 0.157 0.943
Ga5 0.897 0.983 0.201
Ga6 0.118 0.343 0.443
Ga7 0.421 0.813 0.438
Ga8 0.397 0.517 0.701
Ga9 0.079 0.313 0.062
Ga10 0.921 0.687 0.938
Ga11 0.103 0.017 0.799
Ga12 0.579 0.187 0.562
Rh1 0.576 0.874 0.744
Rh2 0.076 0.626 0.244
Rh3 0.424 0.126 0.256
Rh4 0.924 0.374 0.756
Pd1 0.500 0.500 0.000
Pd2 0.000 0.000 0.500

Values from the calculation:
The space group is P2_1/c. For the energy relative to the elements, the calculation gives -0.417 eV per atom.

Entry 7:
A plane-wave DFT calculation with PBE was carried out for GaPdRh2 after structural relaxation.

abc: 4.365 4.365 4.366
angles: 60.00 60.00 60.00
Sites, in units of the cell vectors:
Pd1 0.500 0.500 0.500
Rh1 0.250 0.250 0.250
Rh2 0.000 0.000 0.000
Ga1 0.750 0.750 0.750

Values from the calculation:
The space group is F-43m. For the energy relative to the elements, the calculation gives -0.195 eV per atom.

Entry 8:
A plane-wave DFT calculation with PBE was carried out for GaPd14Rh after structural relaxation.

abc: 5.551 5.551 9.103
angles: 90.00 90.00 119.74
Sites, in units of the cell vectors:
Pd1 0.707 0.794 0.000
Pd2 0.376 0.624 0.750
Pd3 0.046 0.455 0.500
Pd4 0.875 0.628 0.256
Pd5 0.706 0.294 0.000
Pd6 0.376 0.624 0.250
Pd7 0.206 0.293 0.000
Pd8 0.876 0.124 0.253
Pd9 0.372 0.125 0.744
Pd10 0.875 0.628 0.744
Pd11 0.545 0.954 0.500
Pd12 0.206 0.794 0.000
Pd13 0.372 0.125 0.256
Pd14 0.876 0.124 0.747
Rh1 0.542 0.458 0.500
Ga1 0.042 0.958 0.500

Values from the calculation:
The space group is Amm2. For the energy relative to the elements, the calculation gives -0.085 eV per atom.

Entry 9:
A plane-wave DFT calculation with PBE was carried out for Ga5Pd2Rh after structural relaxation.

abc: 4.717 6.114 9.987
angles: 90.00 90.00 112.69
Sites, in units of the cell vectors:
Ga1 0.606 0.213 0.590
Ga2 0.365 0.730 0.750
Ga3 0.034 0.067 0.382
Ga4 0.966 0.933 0.882
Ga5 0.635 0.270 0.250
Ga6 0.606 0.213 0.910
Ga7 0.034 0.067 0.118
Ga8 0.394 0.787 0.410
Ga9 0.966 0.933 0.618
Ga10 0.394 0.787 0.090
Pd1 0.197 0.394 0.930
Pd2 0.803 0.606 0.070
Pd3 0.197 0.394 0.570
Pd4 0.803 0.606 0.430
Rh1 0.781 0.563 0.750
Rh2 0.219 0.437 0.250

Values from the calculation:
The space group is Cmcm. For the energy relative to the elements, the calculation gives -0.375 eV per atom.

Entry 10:
A plane-wave DFT calculation with PBE was carried out for Ga3Pd2Rh3 after structural relaxation.

abc: 3.018 4.371 9.147
angles: 103.82 99.49 90.00
Sites, in units of the cell vectors:
Ga1 0.123 0.123 0.246
Ga2 0.000 0.500 0.000
Ga3 0.877 0.877 0.754
Rh1 0.382 0.382 0.764
Rh2 0.500 0.000 0.000
Rh3 0.618 0.618 0.236
Pd1 0.263 0.763 0.526
Pd2 0.737 0.237 0.474

Values from the calculation:
The space group is Immm. For the energy relative to the elements, the calculation gives -0.537 eV per atom.

Entry 11:
A plane-wave DFT calculation with PBE was carried out for Ga2Pd2Rh after structural relaxation.

abc: 6.999 6.999 3.081
angles: 90.00 90.00 90.00
Sites, in units of the cell vectors:
Ga1 0.348 0.848 0.000
Ga2 0.848 0.652 0.000
Ga3 0.152 0.348 0.000
Ga4 0.652 0.152 0.000
Pd1 0.148 0.648 0.500
Pd2 0.648 0.852 0.500
Pd3 0.352 0.148 0.500
Pd4 0.852 0.352 0.500
Rh1 0.000 0.000 0.000
Rh2 0.500 0.500 0.000

Values from the calculation:
The space group is P4/mbm. For the energy relative to the elements, the calculation gives -0.449 eV per atom. The value obtained for the relative energy among the computed polymorphs is 0.0000 eV per atom.

Entry 12:
A plane-wave DFT calculation with PBE was carried out for Ga2Pd2Rh after structural relaxation.

abc: 4.898 4.898 5.628
angles: 54.95 54.95 91.32
Sites, in units of the cell vectors:
Pd1 0.195 0.805 0.500
Pd2 0.805 0.195 0.500
Rh1 0.000 0.000 0.000
Ga1 0.500 0.500 0.773
Ga2 0.500 0.500 0.227

Values from the calculation:
The space group is Immm. For the energy relative to the elements, the calculation gives -0.441 eV per atom. The value obtained for the relative energy among the computed polymorphs is 0.0080 eV per atom.

Entry 13:
A plane-wave DFT calculation with PBE was carried out for Ga7Pd2Rh2 after structural relaxation.

abc: 5.700 6.123 5.700
angles: 93.66 102.42 86.34
Sites, in units of the cell vectors:
Rh1 0.725 0.986 0.275
Rh2 0.275 0.014 0.725
Pd1 0.804 0.500 0.804
Pd2 0.196 0.500 0.196
Ga1 0.000 0.000 0.000
Ga2 0.495 0.261 0.505
Ga3 0.478 0.716 0.993
Ga4 0.993 0.284 0.478
Ga5 0.522 0.284 0.007
Ga6 0.007 0.716 0.522
Ga7 0.505 0.739 0.495

Values from the calculation:
The space group is C2/m. For the energy relative to the elements, the calculation gives -0.379 eV per atom.

Entry 14:
A plane-wave DFT calculation with PBE was carried out for Ga8Pd2Rh after structural relaxation.

abc: 4.096 5.386 9.204
angles: 110.67 102.86 90.00
Sites, in units of the cell vectors:
Ga1 0.391 0.552 0.783
Ga2 0.216 0.297 0.432
Ga3 0.975 0.243 0.951
Ga4 0.784 0.703 0.568
Ga5 0.640 0.974 0.281
Ga6 0.609 0.448 0.217
Ga7 0.025 0.757 0.049
Ga8 0.360 0.026 0.719
Pd1 0.809 0.250 0.617
Pd2 0.191 0.750 0.383
Rh1 0.500 0.000 0.000

Values from the calculation:
The space group is C2/m. For the energy relative to the elements, the calculation gives -0.371 eV per atom. The value obtained for the relative energy among the computed polymorphs is 0.0000 eV per atom.

Entry 15:
A plane-wave DFT calculation with PBE was carried out for Ga8Pd2Rh after structural relaxation.

abc: 4.319 8.181 6.960
angles: 126.06 108.07 90.00
Sites, in units of the cell vectors:
Ga1 0.649 0.429 0.297
Ga2 0.000 0.332 0.000
Ga3 0.648 0.868 0.297
Ga4 0.352 0.132 0.703
Ga5 0.863 0.863 0.725
Ga6 0.000 0.668 0.000
Ga7 0.351 0.571 0.703
Ga8 0.137 0.137 0.275
Pd1 0.217 0.717 0.434
Pd2 0.783 0.283 0.566
Rh1 0.500 0.000 0.000

Values from the calculation:
The space group is Immm. For the energy relative to the elements, the calculation gives -0.306 eV per atom. The value obtained for the relative energy among the computed polymorphs is 0.0651 eV per atom.

Entry 16:
A plane-wave DFT calculation with PBE was carried out for GaPdRh3 after structural relaxation.

abc: 4.755 4.755 4.755
angles: 90.00 90.00 90.00
Sites, in units of the cell vectors:
Pd1 0.000 0.000 0.000
Rh1 0.000 0.000 0.500
Rh2 0.500 0.000 0.000
Rh3 0.000 0.500 0.000
Ga1 0.500 0.500 0.500

Values from the calculation:
The space group is Pm-3m. For the energy relative to the elements, the calculation gives 1.378 eV per atom. The value obtained for the relative energy among the computed polymorphs is 0.5168 eV per atom.

Entry 17:
A plane-wave DFT calculation with PBE was carried out for Ga3PdRh after structural relaxation.

abc: 4.704 4.704 4.704
angles: 90.00 90.00 90.00
Sites, in units of the cell vectors:
Ga1 0.000 0.500 0.000
Ga2 0.000 0.000 0.500
Ga3 0.500 0.000 0.000
Rh1 0.000 0.000 0.000
Pd1 0.500 0.500 0.500

Values from the calculation:
The space group is Pm-3m. For the energy relative to the elements, the calculation gives -0.014 eV per atom. The value obtained for the relative energy among the computed polymorphs is 0.3762 eV per atom.

Entry 18:
A plane-wave DFT calculation with PBE was carried out for Ga8PdRh2 after structural relaxation.

abc: 5.056 6.909 6.909
angles: 48.56 94.52 94.52
Sites, in units of the cell vectors:
Ga1 0.391 0.345 0.835
Ga2 0.856 0.203 0.203
Ga3 0.109 0.414 0.414
Ga4 0.391 0.835 0.345
Ga5 0.609 0.165 0.655
Ga6 0.144 0.797 0.797
Ga7 0.891 0.586 0.586
Ga8 0.609 0.655 0.165
Rh1 0.628 0.746 0.746
Rh2 0.372 0.254 0.254
Pd1 0.000 0.000 0.000

Values from the calculation:
The space group is C2/m. For the energy relative to the elements, the calculation gives -0.345 eV per atom. The value obtained for the relative energy among the computed polymorphs is 0.0255 eV per atom.

Entry 19:
A plane-wave DFT calculation with PBE was carried out for Ga5PdRh4 after structural relaxation.

abc: 3.004 3.004 15.773
angles: 90.00 90.00 90.00
Sites, in units of the cell vectors:
Ga1 0.500 0.500 0.304
Ga2 0.500 0.500 0.894
Ga3 0.500 0.500 0.106
Ga4 0.500 0.500 0.500
Ga5 0.500 0.500 0.696
Rh1 0.000 0.000 0.794
Rh2 0.000 0.000 0.597
Rh3 0.000 0.000 0.206
Rh4 0.000 0.000 0.403
Pd1 0.000 0.000 0.000

Values from the calculation:
The space group is P4/mmm. For the energy relative to the elements, the calculation gives -0.654 eV per atom.

Entry 20:
A plane-wave DFT calculation with PBE was carried out for Ga8PdRh5 after structural relaxation.

abc: 6.523 6.523 6.523
angles: 110.99 106.47 110.99
Sites, in units of the cell vectors:
Ga1 0.085 0.738 0.492
Ga2 0.135 0.742 0.061
Ga3 0.939 0.074 0.681
Ga4 0.319 0.258 0.393
Ga5 0.508 0.594 0.247
Ga6 0.753 0.262 0.347
Ga7 0.653 0.406 0.915
Ga8 0.607 0.926 0.865
Pd1 0.250 0.500 0.750
Rh1 0.317 0.088 0.955
Rh2 0.500 0.000 0.500
Rh3 0.772 0.639 0.683
Rh4 0.867 0.912 0.228
Rh5 0.045 0.361 0.133

Values from the calculation:
The space group is I-4. For the energy relative to the elements, the calculation gives -0.470 eV per atom.

Entry 21:
A plane-wave DFT calculation with PBE was carried out for Ga4Pd2Rh after structural relaxation.

abc: 3.029 6.174 6.987
angles: 116.01 102.52 90.00
Sites, in units of the cell vectors:
Ga1 0.095 0.734 0.191
Ga2 0.379 0.654 0.757
Ga3 0.621 0.346 0.243
Ga4 0.905 0.266 0.809
Pd1 0.759 0.795 0.519
Pd2 0.241 0.205 0.481
Rh1 0.000 0.000 0.000

Values from the calculation:
The space group is C2/m. For the energy relative to the elements, the calculation gives -0.463 eV per atom.

Entry 22:
A plane-wave DFT calculation with PBE was carried out for GaPdRh2 after structural relaxation.

abc: 3.691 3.691 9.699
angles: 79.03 79.03 90.00
Sites, in units of the cell vectors:
Ga1 0.500 0.500 0.000
Ga2 0.250 0.750 0.500
Rh1 0.875 0.872 0.750
Rh2 0.128 0.625 0.250
Rh3 0.375 0.378 0.750
Rh4 0.622 0.125 0.250
Pd1 0.750 0.250 0.500
Pd2 0.000 0.000 0.000

Values from the calculation:
The space group is I-42d. For the energy relative to the elements, the calculation gives 0.080 eV per atom.

Number 1: ρ 10.93 g cm⁻³, energy -5.9990 eV/atom. Number 2: ρ 9.92 g cm⁻³, energy -5.1169 eV/atom. Number 3: ρ 10.13 g cm⁻³, energy -5.6576 eV/atom. Number 4: ρ 8.03 g cm⁻³, energy -4.3810 eV/atom. Number 5: ρ 10.57 g cm⁻³, energy -5.9615 eV/atom. Number 6: ρ 8.47 g cm⁻³, energy -4.6451 eV/atom. Number 7: ρ 10.78 g cm⁻³, energy -5.9257 eV/atom. Number 8: ρ 11.34 g cm⁻³, energy -5.2774 eV/atom. Number 9: ρ 8.30 g cm⁻³, energy -4.4838 eV/atom. Number 10: ρ 10.51 g cm⁻³, energy -5.7273 eV/atom. Number 11: ρ 10.01 g cm⁻³, energy -5.2071 eV/atom. Number 12: ρ 9.83 g cm⁻³, energy -5.1991 eV/atom. Number 13: ρ 7.78 g cm⁻³, energy -4.5865 eV/atom. Number 14: ρ 7.86 g cm⁻³, energy -4.1848 eV/atom. Number 15: ρ 7.90 g cm⁻³, energy -4.1196 eV/atom. Number 16: ρ 7.49 g cm⁻³, energy -4.6764 eV/atom. Number 17: ρ 6.68 g cm⁻³, energy -4.3388 eV/atom. Number 18: ρ 8.01 g cm⁻³, energy -4.3555 eV/atom. Number 19: ρ 10.11 g cm⁻³, energy -5.6275 eV/atom. Number 20: ρ 9.18 g cm⁻³, energy -5.1957 eV/atom. Number 21: ρ 8.67 g cm⁻³, energy -4.7265 eV/atom. Number 22: ρ 9.97 g cm⁻³, energy -5.6504 eV/atom.